(1)
Entry from the Alexandria database: RbCa2Mg2 after structural relaxation (PBE-GGA).

POSCAR file:
```
RbCa2Mg2
1.0
10.047 0.000 0.000
0.000 10.047 0.000
0.000 0.000 3.891
Rb Mg Ca
2 4 4
direct
0.000 0.000 0.000 Rb
0.500 0.500 0.000 Rb
0.881 0.619 0.000 Mg
0.119 0.381 0.000 Mg
0.619 0.119 0.000 Mg
0.381 0.881 0.000 Mg
0.836 0.336 0.500 Ca
0.664 0.836 0.500 Ca
0.164 0.664 0.500 Ca
0.336 0.164 0.500 Ca
```

Results
magnetization: 0.0 μB per formula unit

(2)
Entry from the Alexandria database: RbCaMg3 after structural relaxation (PBE-GGA).

POSCAR file:
```
RbCaMg3
1.0
-3.025 5.078 2.179
-5.129 -3.505 1.047
2.056 -1.271 5.817
Mg Ca Rb
3 1 1
direct
0.000 0.500 0.000 Mg
0.500 0.000 0.000 Mg
0.000 0.000 0.500 Mg
0.000 0.000 0.000 Ca
0.500 0.500 0.500 Rb
```

Results
magnetization: 0.0 μB per formula unit

| no. | ΔH_f (0 K) (eV/f.u.) | total energy (eV per atom) | theoretical density (g/cm³) |
| --- | --- | --- | --- |
| 1 | 0.53 | -1.527 | 1.81 |
| 2 | 2.67 | -1.016 | 1.32 |